Material: ScAl2Ag2
Method: DFT, GGA-PBEsol
State: relaxed

abc: 3.8691 3.8691 6.7040
angles: 106.77 106.77 90.00
With the nearest neighbours (Å) after each atom.
Element x y z (fractional)
Al: 0.7500 0.2500 0.5000  4 Ag 2.61, 4 Al 2.74
Al: 0.2500 0.7500 0.5000  4 Ag 2.61, 4 Al 2.74
Sc: 0.0000 0.0000 0.0000  8 Ag 3.03
Ag: 0.6072 0.6072 0.2143  4 Al 2.61, 1 Ag 2.62
Ag: 0.3928 0.3928 0.7857  4 Al 2.61, 1 Ag 2.62

Computed properties:
ΔE_f (eV/atom): -0.192
Crystal system: tetragonal

Material: AlAgSe2
Method: DFT, GGA-PBEsol
State: relaxed

abc: 3.6212 3.6212 6.4180
angles: 90.00 90.00 90.00
With the nearest neighbours (Å) after each atom.
Element x y z (fractional)
Se: 0.0000 0.0000 0.9182  4 Al 2.66, 1 Ag 2.72
Se: 0.5000 0.5000 0.4324  1 Al 2.41, 4 Ag 2.63
Al: 0.5000 0.5000 0.8078  5 Se 2.41-2.66
Ag: 0.0000 0.0000 0.3416  5 Se 2.63-2.72

Computed properties:
Crystal system: tetragonal
Formation energy (no corrections) (meV/atom): -372

Material: AlAgSe2
Method: DFT, GGA-PBEsol
State: relaxed

abc: 3.7155 3.7155 7.9029
angles: 76.40 76.40 60.00
With the nearest neighbours (Å) after each atom.
Element x y z (fractional)
Al: 0.5000 0.5000 0.5000  6 Se 2.54
Ag: 0.0000 0.0000 0.0000  2 Se 2.44
Se: 0.8930 0.8930 0.3211  1 Ag 2.44, 3 Al 2.54
Se: 0.1070 0.1070 0.6789  1 Ag 2.44, 3 Al 2.54

Computed properties:
Crystal system: trigonal
Formation energy (no corrections) (meV/atom): -506

Material: AlAg3Se
Method: DFT, GGA-PBEsol
State: relaxed

abc: 4.9537 4.9537 4.9537
angles: 90.00 90.00 90.00
With the nearest neighbours (Å) after each atom.
Element x y z (fractional)
Ag: 0.0000 0.5000 0.0000  2 Se 2.48
Ag: 0.5000 0.0000 0.0000  2 Se 2.48
Ag: 0.0000 0.0000 0.5000  2 Se 2.48
Al: 0.5000 0.5000 0.5000  12 Ag 3.50
Se: 0.0000 0.0000 0.0000  6 Ag 2.48

Computed properties:
Crystal system: cubic
Formation energy (no corrections) (meV/atom): 584

Material: Al2AgSe
Method: DFT, GGA-PBEsol
State: relaxed

abc: 3.2501 3.2501 7.6421
angles: 90.00 90.00 113.06
With the nearest neighbours (Å) after each atom.
Element x y z (fractional)
Al: 0.0000 0.0000 0.2565  2 Se 2.58, 2 Ag 2.66
Al: 0.0000 0.0000 0.7435  2 Se 2.58, 2 Ag 2.66
Se: 0.5000 0.5000 0.5000  4 Al 2.58
Ag: 0.5000 0.5000 0.0000  4 Al 2.66

Computed properties:
Crystal system: orthorhombic
Formation energy (no corrections) (meV/atom): 41

Material: AlAg9Se6
Method: DFT, GGA-PBEsol
State: relaxed

abc: 10.9936 10.9936 10.9936
angles: 90.00 90.00 90.00
With the nearest neighbours (Å) after each atom.
Element x y z (fractional)
Se: 0.8730 0.6370 0.9021  1 Al 2.38, 2 Ag 2.56-2.65
Se: 0.2668 0.2668 0.2668  6 Ag 2.64-2.70
Se: 0.5979 0.1270 0.1370  1 Al 2.38, 2 Ag 2.56-2.65
Se: 0.6370 0.9021 0.8730  1 Al 2.38, 2 Ag 2.56-2.65
Se: 0.4705 0.9705 0.5295  6 Ag 2.58-2.77
Se: 0.3659 0.1341 0.8659  1 Al 2.36
Se: 0.7332 0.7668 0.2332  6 Ag 2.64-2.70
Se: 0.5295 0.4705 0.9705  6 Ag 2.58-2.77
Se: 0.8659 0.3659 0.1341  1 Al 2.36
Se: 0.0295 0.0295 0.0295  6 Ag 2.58-2.77
Se: 0.1370 0.5979 0.1270  1 Al 2.38, 2 Ag 2.56-2.65
Se: 0.1270 0.1370 0.5979  1 Al 2.38, 2 Ag 2.56-2.65
Se: 0.1341 0.8659 0.3659  1 Al 2.36
Se: 0.3730 0.8630 0.0979  1 Al 2.38, 2 Ag 2.56-2.65
Se: 0.6341 0.6341 0.6341  1 Al 2.36
Se: 0.6270 0.3630 0.4021  1 Al 2.38, 2 Ag 2.56-2.65
Se: 0.3630 0.4021 0.6270  1 Al 2.38, 2 Ag 2.56-2.65
Se: 0.9021 0.8730 0.6370  1 Al 2.38, 2 Ag 2.56-2.65
Se: 0.7668 0.2332 0.7332  6 Ag 2.64-2.70
Se: 0.0979 0.3730 0.8630  1 Al 2.38, 2 Ag 2.56-2.65
Se: 0.4021 0.6270 0.3630  1 Al 2.38, 2 Ag 2.56-2.65
Se: 0.2332 0.7332 0.7668  6 Ag 2.64-2.70
Se: 0.8630 0.0979 0.3730  1 Al 2.38, 2 Ag 2.56-2.65
Se: 0.9705 0.5295 0.4705  6 Ag 2.58-2.77
Ag: 0.3666 0.1757 0.5741  3 Se 2.56-2.68
Ag: 0.7758 0.7332 0.4666  3 Se 2.64-2.79
Ag: 0.3243 0.4259 0.8666  3 Se 2.56-2.68
Ag: 0.0406 0.8694 0.8347  3 Se 2.65-2.77, 5 Ag 2.87-2.97
Ag: 0.6334 0.6757 0.9259  3 Se 2.56-2.68
Ag: 0.3347 0.4594 0.1306  3 Se 2.65-2.77, 5 Ag 2.87-2.97
Ag: 0.7668 0.5334 0.2758  3 Se 2.64-2.79
Ag: 0.8243 0.0741 0.1334  3 Se 2.56-2.68
Ag: 0.6757 0.9259 0.6334  3 Se 2.56-2.68
Ag: 0.5741 0.3666 0.1757  3 Se 2.56-2.68
Ag: 0.8694 0.8347 0.0406  3 Se 2.65-2.77, 5 Ag 2.87-2.97
Ag: 0.8347 0.0406 0.8694  3 Se 2.65-2.77, 5 Ag 2.87-2.97
Ag: 0.5334 0.2758 0.7668  3 Se 2.64-2.79
Ag: 0.4666 0.7758 0.7332  3 Se 2.64-2.79
Ag: 0.4259 0.8666 0.3243  3 Se 2.56-2.68
Ag: 0.9594 0.3694 0.6653  3 Se 2.65-2.77, 5 Ag 2.87-2.97
Ag: 0.2242 0.2332 0.0334  3 Se 2.64-2.79
Ag: 0.0334 0.2242 0.2332  3 Se 2.64-2.79
Ag: 0.5406 0.6306 0.1653  3 Se 2.65-2.77, 5 Ag 2.87-2.97
Ag: 0.4594 0.1306 0.3347  3 Se 2.65-2.77, 5 Ag 2.87-2.97
Ag: 0.2758 0.7668 0.5334  3 Se 2.64-2.79
Ag: 0.7332 0.4666 0.7758  3 Se 2.64-2.79
Ag: 0.7242 0.2668 0.9666  3 Se 2.64-2.79
Ag: 0.1653 0.5406 0.6306  3 Se 2.65-2.77, 5 Ag 2.87-2.97
Ag: 0.0741 0.1334 0.8243  3 Se 2.56-2.68
Ag: 0.9259 0.6334 0.6757  3 Se 2.56-2.68
Ag: 0.8666 0.3243 0.4259  3 Se 2.56-2.68
Ag: 0.3694 0.6653 0.9594  3 Se 2.65-2.77, 5 Ag 2.87-2.97
Ag: 0.6653 0.9594 0.3694  3 Se 2.65-2.77, 5 Ag 2.87-2.97
Ag: 0.9666 0.7242 0.2668  3 Se 2.64-2.79
Ag: 0.1757 0.5741 0.3666  3 Se 2.56-2.68
Ag: 0.6306 0.1653 0.5406  3 Se 2.65-2.77, 5 Ag 2.87-2.97
Ag: 0.1334 0.8243 0.0741  3 Se 2.56-2.68
Ag: 0.1306 0.3347 0.4594  3 Se 2.65-2.77, 5 Ag 2.87-2.97
Ag: 0.2668 0.9666 0.7242  3 Se 2.64-2.79
Ag: 0.2332 0.0334 0.2242  3 Se 2.64-2.79
Al: 0.5102 0.5102 0.5102  4 Se 2.36-2.38
Al: 0.9898 0.4898 0.0102  4 Se 2.36-2.38
Al: 0.4898 0.0102 0.9898  4 Se 2.36-2.38
Al: 0.0102 0.9898 0.4898  4 Se 2.36-2.38

Computed properties:
Crystal system: cubic
Formation energy (no corrections) (meV/atom): -179

Material: AlAgSe2
Method: DFT, GGA-PBEsol
State: relaxed

abc: 5.9054 5.9054 6.9163
angles: 115.27 115.27 90.00
With the nearest neighbours (Å) after each atom.
Element x y z (fractional)
Se: 0.8456 0.3750 0.2500  2 Al 2.40, 2 Ag 2.61
Se: 0.4044 0.8750 0.2500  2 Al 2.40, 2 Ag 2.61
Se: 0.6250 0.5956 0.7500  2 Al 2.40, 2 Ag 2.61
Se: 0.1250 0.1544 0.7500  2 Al 2.40, 2 Ag 2.61
Al: 0.7500 0.2500 0.5000  4 Se 2.40
Al: 0.5000 0.5000 0.0000  4 Se 2.40
Ag: 0.0000 0.0000 0.0000  4 Se 2.61
Ag: 0.2500 0.7500 0.5000  4 Se 2.61

Computed properties:
Crystal system: tetragonal
Formation energy (no corrections) (meV/atom): -572

Material: Al2AgSe
Method: DFT, GGA-PBEsol
State: relaxed

abc: 2.8997 3.2432 7.5668
angles: 90.00 90.00 90.00
With the nearest neighbours (Å) after each atom.
Element x y z (fractional)
Ag: 0.5000 0.5000 0.7722  4 Al 2.77, 2 Ag 2.90
Se: 0.0000 0.0000 0.4730  4 Al 2.73, 2 Se 2.90
Al: 0.5000 0.5000 0.2557  4 Se 2.73, 6 Al 2.90-2.92
Al: 0.0000 0.0000 0.9991  4 Ag 2.77, 6 Al 2.90-2.92

Computed properties:
Crystal system: orthorhombic
Formation energy (no corrections) (meV/atom): 25

Material: AlAgSe
Method: DFT, GGA-PBEsol
State: relaxed

abc: 4.4240 4.4240 4.4240
angles: 60.00 60.00 60.00
With the nearest neighbours (Å) after each atom.
Element x y z (fractional)
Ag: 0.5000 0.5000 0.5000  4 Al 2.71
Se: 0.0000 0.0000 0.0000  4 Al 2.71
Al: 0.2500 0.2500 0.2500  4 Se 2.71, 4 Ag 2.71

Computed properties:
Crystal system: cubic
Formation energy (no corrections) (meV/atom): 34

Material: Al2SiAg
Method: DFT, GGA-PBEsol
State: relaxed

abc: 2.7735 2.8210 9.5126
angles: 90.00 90.00 119.44
With the nearest neighbours (Å) after each atom.
Element x y z (fractional)
Al: 0.0000 0.0000 0.9972  2 Ag 2.74, 8 Al 2.77-2.82
Al: 0.5000 0.0000 0.2553  2 Si 2.70, 8 Al 2.77-2.82
Ag: 0.5000 0.0000 0.7484  2 Al 2.74, 2 Si 2.75, 6 Ag 2.77-2.82
Si: 0.0000 0.0000 0.4992  2 Al 2.70, 2 Ag 2.75, 6 Si 2.77-2.82

Computed properties:
Crystal system: orthorhombic
Formation energy (no corrections) (meV/atom): 157

Material: AlSi2Ag
Method: DFT, GGA-PBEsol
State: relaxed

abc: 2.6910 4.6906 5.0297
angles: 90.00 90.01 90.00
With the nearest neighbours (Å) after each atom.
Element x y z (fractional)
Al: 0.0000 0.5000 0.5000  2 Al 2.69, 4 Ag 2.85, 8 Si 2.97
Si: 0.5001 0.0000 0.2567  4 Si 2.45-2.69, 2 Ag 2.68
Si: 0.4999 0.0000 0.7433  4 Si 2.45-2.69, 2 Ag 2.68
Ag: 0.5000 0.5000 0.0000  4 Si 2.68, 2 Ag 2.69, 4 Al 2.85

Computed properties:
Crystal system: orthorhombic
Formation energy (no corrections) (meV/atom): 234

Material: AlSiAg2
Method: DFT, GGA-PBEsol
State: relaxed

abc: 3.4776 3.4776 5.3144
angles: 90.00 90.00 90.00
With the nearest neighbours (Å) after each atom.
Element x y z (fractional)
Al: 0.0000 0.0000 0.5006  6 Ag 2.59-2.77, 4 Si 2.80
Ag: 0.0000 0.0000 0.9881  2 Al 2.59-2.72, 4 Si 2.76, 4 Ag 2.85
Ag: 0.5000 0.5000 0.2596  2 Si 2.62-2.70, 4 Al 2.77, 4 Ag 2.85
Si: 0.5000 0.5000 0.7518  6 Ag 2.62-2.76, 4 Al 2.80

Computed properties:
Crystal system: tetragonal
Formation energy (no corrections) (meV/atom): 77

Material: AlSiAg2
Method: DFT, GGA-PBEsol
State: relaxed

abc: 2.9304 2.9304 8.7522
angles: 80.53 80.53 60.01
With the nearest neighbours (Å) after each atom.
Element x y z (fractional)
Ag: 0.2506 0.2506 0.2490  3 Si 2.72-2.73, 3 Al 2.74, 6 Ag 2.93
Ag: 0.7495 0.7495 0.7510  3 Si 2.72-2.73, 3 Al 2.74, 6 Ag 2.93
Al: 0.5000 0.5000 0.5000  6 Ag 2.74, 6 Al 2.93
Si: 0.0000 0.0000 0.0000  6 Ag 2.72-2.73, 6 Si 2.93

Computed properties:
Crystal system: monoclinic
Formation energy (no corrections) (meV/atom): 84

no.,ρ (Mg/m³),total DFT energy (no corrections) (eV/cell)
1,5.70,-22.372
2,5.78,-16.591
3,5.35,-17.125
4,5.87,-14.957
5,5.38,-15.180
6,7.36,-239.408
7,5.06,-34.785
8,5.62,-15.246
9,5.80,-11.150
10,4.87,-16.614
11,5.00,-17.959
12,7.00,-16.153
13,7.04,-16.125